# ScCd2Tc, optimized geometry, DFT PBE
# crystal system = orthorhombic
# total moment = 0.0 μB per formula unit
# energy relative to the elements = 65 meV/atom
# energy = -4.5665 eV/atom
# E above lowest polymorph = 86 meV per atom
# symmetry = Cmm2 (35)
data_ScCd2Tc
_cell_length_a 3.506
_cell_length_b 4.750
_cell_length_c 9.376
_cell_angle_alpha 90.00
_cell_angle_beta 90.00
_cell_angle_gamma 90.00
_symmetry_space_group_name_H-M 'P 1'
_symmetry_Int_Tables_number 1
loop_
_symmetry_equiv_pos_as_xyz
'x,y,z'
loop_
_atom_site_label
_atom_site_type_symbol
_atom_site_fract_x
_atom_site_fract_y
_atom_site_fract_z
Sc1 Sc 0.000 0.000 0.000
Sc2 Sc 0.500 0.500 0.000
Cd1 Cd 0.000 0.000 0.548
Cd2 Cd 0.000 0.500 0.274
Cd3 Cd 0.500 0.000 0.274
Cd4 Cd 0.500 0.500 0.548
Tc1 Tc 0.000 0.500 0.789
Tc2 Tc 0.500 0.000 0.789

=====

# ScCdTc2, optimized geometry, DFT PBE
# crystal system = tetragonal
# total moment = 0.0 μB per formula unit
# energy relative to the elements = -84 meV/atom
# energy = -7.0789 eV/atom
# symmetry = P4mm (99)
data_ScCdTc2
_cell_length_a 3.076
_cell_length_b 3.076
_cell_length_c 7.522
_cell_angle_alpha 90.00
_cell_angle_beta 90.00
_cell_angle_gamma 90.00
_symmetry_space_group_name_H-M 'P 1'
_symmetry_Int_Tables_number 1
loop_
_symmetry_equiv_pos_as_xyz
'x,y,z'
loop_
_atom_site_label
_atom_site_type_symbol
_atom_site_fract_x
_atom_site_fract_y
_atom_site_fract_z
Sc1 Sc 0.000 0.000 0.000
Cd1 Cd 0.500 0.500 0.699
Tc1 Tc 0.000 0.000 0.434
Tc2 Tc 0.500 0.500 0.248

=====

# ScCdTc2, optimized geometry, DFT PBE
# crystal system = tetragonal
# total moment = 0.0 μB per formula unit
# energy relative to the elements = 280 meV/atom
# energy = -6.7145 eV/atom
# symmetry = P4/mmm (123)
data_ScCdTc2
_cell_length_a 3.489
_cell_length_b 3.489
_cell_length_c 5.989
_cell_angle_alpha 90.00
_cell_angle_beta 90.00
_cell_angle_gamma 90.00
_symmetry_space_group_name_H-M 'P 1'
_symmetry_Int_Tables_number 1
loop_
_symmetry_equiv_pos_as_xyz
'x,y,z'
loop_
_atom_site_label
_atom_site_type_symbol
_atom_site_fract_x
_atom_site_fract_y
_atom_site_fract_z
Sc1 Sc 0.000 0.000 0.000
Cd1 Cd 0.000 0.000 0.500
Tc1 Tc 0.500 0.500 0.200
Tc2 Tc 0.500 0.500 0.800

=====

# ScCdTc2, optimized geometry, DFT PBE
# crystal system = monoclinic
# total moment = 0.0 μB per formula unit
# energy relative to the elements = 204 meV/atom
# energy = -6.7902 eV/atom
# symmetry = C2/m (12)
data_ScCdTc2
_cell_length_a 5.625
_cell_length_b 9.256
_cell_length_c 2.786
_cell_angle_alpha 90.00
_cell_angle_beta 110.45
_cell_angle_gamma 90.00
_symmetry_space_group_name_H-M 'P 1'
_symmetry_Int_Tables_number 1
loop_
_symmetry_equiv_pos_as_xyz
'x,y,z'
loop_
_atom_site_label
_atom_site_type_symbol
_atom_site_fract_x
_atom_site_fract_y
_atom_site_fract_z
Sc1 Sc 0.000 0.000 0.000
Sc2 Sc 0.500 0.500 0.000
Cd1 Cd 0.000 0.500 0.000
Cd2 Cd 0.500 0.000 0.000
Tc1 Tc 0.250 0.250 0.500
Tc2 Tc 0.250 0.750 0.500
Tc3 Tc 0.750 0.250 0.500
Tc4 Tc 0.750 0.750 0.500

=====

# ScCdTc2, optimized geometry, DFT PBE
# crystal system = tetragonal
# total moment = 0.0 μB per formula unit
# energy relative to the elements = 326 meV/atom
# energy = -6.6689 eV/atom
# symmetry = P4/mmm (123)
data_ScCdTc2
_cell_length_a 2.751
_cell_length_b 2.751
_cell_length_c 9.135
_cell_angle_alpha 90.00
_cell_angle_beta 90.00
_cell_angle_gamma 90.00
_symmetry_space_group_name_H-M 'P 1'
_symmetry_Int_Tables_number 1
loop_
_symmetry_equiv_pos_as_xyz
'x,y,z'
loop_
_atom_site_label
_atom_site_type_symbol
_atom_site_fract_x
_atom_site_fract_y
_atom_site_fract_z
Sc1 Sc 0.000 0.000 0.000
Cd1 Cd 0.000 0.000 0.500
Tc1 Tc 0.500 0.500 0.247
Tc2 Tc 0.500 0.500 0.753

=====

# Sc4CdTc2, optimized geometry, DFT PBE
# crystal system = orthorhombic
# total moment = 0.0 μB per formula unit
# energy relative to the elements = -96 meV/atom
# energy = -6.8065 eV/atom
# symmetry = Cmcm (63)
data_Sc4CdTc2
_cell_length_a 4.914
_cell_length_b 4.914
_cell_length_c 13.410
_cell_angle_alpha 90.00
_cell_angle_beta 90.00
_cell_angle_gamma 120.01
_symmetry_space_group_name_H-M 'P 1'
_symmetry_Int_Tables_number 1
loop_
_symmetry_equiv_pos_as_xyz
'x,y,z'
loop_
_atom_site_label
_atom_site_type_symbol
_atom_site_fract_x
_atom_site_fract_y
_atom_site_fract_z
Sc1 Sc 0.000 0.000 0.000
Sc2 Sc 0.000 0.000 0.500
Sc3 Sc 0.333 0.667 0.627
Sc4 Sc 0.333 0.667 0.873
Sc5 Sc 0.334 0.666 0.250
Sc6 Sc 0.666 0.334 0.750
Sc7 Sc 0.667 0.333 0.127
Sc8 Sc 0.667 0.333 0.373
Cd1 Cd 0.001 0.999 0.250
Cd2 Cd 0.999 0.001 0.750
Tc1 Tc 0.333 0.667 0.055
Tc2 Tc 0.333 0.667 0.445
Tc3 Tc 0.667 0.333 0.555
Tc4 Tc 0.667 0.333 0.945

=====

# ScCd2Tc, optimized geometry, DFT PBE
# crystal system = trigonal
# total moment = 0.0 μB per formula unit
# energy relative to the elements = 135 meV/atom
# energy = -4.4972 eV/atom
# E above lowest polymorph = 156 meV per atom
# symmetry = R3m (160)
data_ScCd2Tc
_cell_length_a 3.132
_cell_length_b 3.132
_cell_length_c 28.401
_cell_angle_alpha 90.00
_cell_angle_beta 90.00
_cell_angle_gamma 120.00
_symmetry_space_group_name_H-M 'P 1'
_symmetry_Int_Tables_number 1
loop_
_symmetry_equiv_pos_as_xyz
'x,y,z'
loop_
_atom_site_label
_atom_site_type_symbol
_atom_site_fract_x
_atom_site_fract_y
_atom_site_fract_z
Sc1 Sc 0.000 0.000 0.000
Sc2 Sc 0.333 0.667 0.667
Sc3 Sc 0.667 0.333 0.333
Cd1 Cd 0.000 0.000 0.241
Cd2 Cd 0.000 0.000 0.483
Cd3 Cd 0.333 0.667 0.149
Cd4 Cd 0.333 0.667 0.908
Cd5 Cd 0.667 0.333 0.575
Cd6 Cd 0.667 0.333 0.816
Tc1 Tc 0.000 0.000 0.736
Tc2 Tc 0.333 0.667 0.403
Tc3 Tc 0.667 0.333 0.069

=====

# ScCd2Tc, optimized geometry, DFT PBE
# crystal system = monoclinic
# total moment = 0.0 μB per formula unit
# energy relative to the elements = 118 meV/atom
# energy = -4.5141 eV/atom
# E above lowest polymorph = 139 meV per atom
# symmetry = Pm (6)
data_ScCd2Tc
_cell_length_a 2.946
_cell_length_b 4.789
_cell_length_c 5.387
_cell_angle_alpha 90.00
_cell_angle_beta 91.14
_cell_angle_gamma 90.00
_symmetry_space_group_name_H-M 'P 1'
_symmetry_Int_Tables_number 1
loop_
_symmetry_equiv_pos_as_xyz
'x,y,z'
loop_
_atom_site_label
_atom_site_type_symbol
_atom_site_fract_x
_atom_site_fract_y
_atom_site_fract_z
Sc1 Sc 0.000 0.000 0.000
Cd1 Cd 0.472 0.500 0.766
Cd2 Cd 0.488 0.000 0.478
Tc1 Tc 0.951 0.500 0.249

=====

Number 1: theoretical density 7.82 g/cm3. Number 2: theoretical density 8.24 g/cm3. Number 3: theoretical density 8.05 g/cm3. Number 4: theoretical density 8.64 g/cm3. Number 5: theoretical density 8.49 g/cm3. Number 6: theoretical density 5.78 g/cm3. Number 7: theoretical density 7.59 g/cm3. Number 8: theoretical density 8.04 g/cm3.